{"formula": "KCl2F7", "functional": "PBE", "state": "relaxed", "n_ef_per_ev_cell": 1.3, "space_group": "Cmmm, No. 65", "e_form_raw_ev_per_atom": -0.942, "rho_g_cm3": 2.261, "m_tot_mub_per_cell": 0.0, "lattice": [[-3.923, -1.036, -1.465], [2.082, 0.198, -5.716], [0.567, -6.694, 3.215]], "species": ["K", "Cl", "Cl", "F", "F", "F", "F", "F", "F", "F"], "frac_coords": [[0.000, 0.000, 0.000], [0.500, 0.648, 0.296], [0.500, 0.352, 0.704], [0.000, 0.642, 0.285], [0.000, 0.358, 0.715], [0.500, 0.650, 0.721], [0.500, 0.350, 0.279], [0.500, 0.929, 0.279], [0.500, 0.071, 0.721], [0.500, 0.500, 0.000]]}

{"formula": "KCl2F", "functional": "PBE", "state": "relaxed", "n_ef_per_ev_cell": 16.1, "space_group": "I4_1/amd, No. 141", "e_form_raw_ev_per_atom": -1.035, "rho_g_cm3": 1.778, "m_tot_mub_per_cell": 0.7, "lattice": [[4.547, 0.000, 0.000], [0.000, 4.547, 0.000], [2.273, 2.273, 11.658]], "species": ["K", "K", "F", "F", "Cl", "Cl", "Cl", "Cl"], "frac_coords": [[0.000, 0.000, 0.000], [0.750, 0.250, 0.500], [0.500, 0.500, 0.000], [0.250, 0.750, 0.500], [0.374, 0.125, 0.250], [0.376, 0.625, 0.250], [0.375, 0.626, 0.750], [0.875, 0.624, 0.750]]}

{"formula": "KClF", "functional": "PBE", "state": "relaxed", "n_ef_per_ev_cell": 12.9, "space_group": "Pnma, No. 62", "e_form_raw_ev_per_atom": -1.705, "rho_g_cm3": 1.928, "m_tot_mub_per_cell": 0.8, "lattice": [[4.686, 0.000, 0.000], [0.000, 4.662, 0.000], [0.000, 0.000, 14.754]], "species": ["Cl", "Cl", "Cl", "Cl", "F", "F", "F", "F", "K", "K", "K", "K"], "frac_coords": [[0.096, 0.750, 0.513], [0.596, 0.750, 0.487], [0.904, 0.250, 0.987], [0.404, 0.250, 0.013], [0.247, 0.750, 0.247], [0.747, 0.750, 0.753], [0.753, 0.250, 0.253], [0.253, 0.250, 0.747], [0.752, 0.250, 0.675], [0.252, 0.250, 0.325], [0.248, 0.750, 0.825], [0.748, 0.750, 0.175]]}

{"formula": "KCl3F", "functional": "PBE", "state": "relaxed", "polymorph_energy_mev_per_atom": 435.6, "n_ef_per_ev_cell": 35.3, "space_group": "Pm-3m, No. 221", "e_form_raw_ev_per_atom": -0.062, "rho_g_cm3": 1.190, "m_tot_mub_per_cell": 3.0, "lattice": [[-1.629, -4.803, -3.429], [5.324, -2.731, 1.296], [-2.547, -2.637, 4.903]], "species": ["K", "F", "Cl", "Cl", "Cl"], "frac_coords": [[0.000, 0.000, 0.000], [0.500, 0.500, 0.500], [0.000, 0.500, 0.000], [0.000, 0.000, 0.500], [0.500, 0.000, 0.000]]}

Question: What is the formula in the third record?
Answer: KClF